1.
Below is a PBEsol-optimized structure of ZnCo2Ir, with properties calculated at the meta-GGA SCAN level.

Computed properties:
final energy	-118.8	eV per cell
E_form	102	meV per atom

Unit cell a=2.569 b=2.569 c=8.423 alpha=90.00 beta=90.00 gamma=116.64
Sites, in units of the cell vectors:
Zn  0.500  0.500  0.000
Ir  0.500  0.500  0.500
Co  0.000  0.000  0.246
Co  0.000  0.000  0.754

=====

2.
Below is a PBEsol-optimized structure of NaFeAs2Se, with properties calculated at the meta-GGA SCAN level.

Computed properties:
final energy	-82.8	eV per cell
ΔE_f (raw)	0.006	eV per atom

Unit cell a=4.383 b=4.383 c=5.439 alpha=90.00 beta=90.00 gamma=90.00
Sites, in units of the cell vectors:
Na  0.500  0.500  0.500
As  0.000  0.500  0.000
As  0.500  0.000  0.000
Fe  0.000  0.000  0.000
Se  0.000  0.000  0.500